Ac2La3S8 after structural relaxation, computed with PBE.

Properties
- Total moment: 0.00 μB per cell
- Space group: Cmmm, No. 65
- VASP energy: -6.268 eV per atom

The structure in POSCAR format:
```
Ac2La3S8
1.0
5.119 -7.240 0.000
5.119 7.240 0.000
0.000 0.000 4.833
Ac La S
2 3 8
direct
0.236 0.764 0.000
0.764 0.236 0.000
0.213 0.213 0.500
0.500 0.500 0.000
0.787 0.787 0.500
0.122 0.878 0.500
0.143 0.386 0.000
0.383 0.617 0.500
0.386 0.143 0.000
0.614 0.857 0.000
0.617 0.383 0.500
0.857 0.614 0.000
0.878 0.122 0.500
```